The following is a GGA-PBE calculation of an optimized crystal structure of BaPrIr, from the Open Quantum Materials Database.

```
BaPrIr
1.0
2.573 1.485 4.201
-2.573 1.485 4.201
0.000 -2.971 4.201
Ba Ir Pr
1 1 1
Direct
0.750 0.750 0.750 Ba
0.000 0.000 0.000 Ir
0.250 0.250 0.250 Pr
```

Space group   F-43m (216)
Electronic total energy   -5.383 eV per atom


The following is a GGA-PBE calculation of an optimized crystal structure of Nb3NiB2, from the Open Quantum Materials Database.

```
Nb3NiB2
1.0
-2.727 1.107 -1.345
2.202 -1.518 -1.822
-8.001 -15.633 3.351
B Nb Ni
4 6 2
Direct
0.333 0.667 0.077 B
0.333 0.667 0.423 B
0.667 0.333 0.577 B
0.667 0.333 0.923 B
0.000 0.000 0.000 Nb
0.667 0.333 0.147 Nb
0.667 0.333 0.353 Nb
0.000 0.000 0.500 Nb
0.333 0.667 0.647 Nb
0.333 0.667 0.853 Nb
0.000 0.000 0.250 Ni
0.000 0.000 0.750 Ni
```

Space group   P6_3/mmc (194)
Electronic total energy   -8.540 eV per atom


The following is a GGA-PBE calculation of an optimized crystal structure of PrAgAs, from the Open Quantum Materials Database.

```
PrAgAs
1.0
3.909 -2.539 -0.948
-0.388 -4.337 -1.914
1.322 -0.736 -4.509
Ag As Pr
1 1 1
Direct
0.000 0.000 0.000 Ag
0.250 0.250 0.250 As
0.750 0.750 0.750 Pr
```

Space group   F-43m (216)
Electronic total energy   -4.559 eV per atom


The following is a GGA-PBE calculation of an optimized crystal structure of AgHF2, from the Open Quantum Materials Database.

```
AgHF2
1.0
-2.995 2.181 3.948
-0.036 3.921 3.734
-2.560 4.536 1.479
Ag F H
1 2 1
Direct
0.500 0.500 0.500 Ag
0.075 0.075 0.075 F
0.925 0.925 0.925 F
0.000 0.000 0.000 H
```

Space group   R-3m (166)
Electronic total energy   -3.776 eV per atom


The following is a GGA-PBE calculation of an optimized crystal structure of Dy4HoTm2Ni2Te2, from the Open Quantum Materials Database.

```
Dy4HoTm2Ni2Te2
1.0
5.038 -6.178 4.831
-9.270 -0.057 0.979
8.168 -2.021 -4.011
Dy Ho Ni Te Tm
4 1 2 2 2
Direct
0.397 0.264 0.133 Dy
0.765 0.412 0.354 Dy
0.058 0.411 0.646 Dy
0.131 0.264 0.867 Dy
0.681 0.681 0.000 Ho
0.990 0.753 0.237 Ni
0.516 0.753 0.763 Ni
0.018 0.018 0.000 Te
0.418 0.918 0.500 Te
0.376 0.061 0.315 Tm
0.745 0.061 0.685 Tm
```

Space group   Imm2 (44)
Electronic total energy   -5.168 eV per atom


The following is a GGA-PBE calculation of an optimized crystal structure of PrYBe2Ge2, from the Open Quantum Materials Database.

```
PrYBe2Ge2
1.0
-0.686 3.907 -0.096
-3.013 -2.532 0.504
1.059 0.389 8.291
Be Ge Pr Y
2 2 1 1
Direct
0.667 0.333 0.258 Be
0.333 0.667 0.742 Be
0.333 0.667 0.260 Ge
0.667 0.333 0.740 Ge
0.000 0.000 0.000 Pr
0.000 0.000 0.500 Y
```

Space group   P-3m1 (164)
Electronic total energy   -5.314 eV per atom


- Number 1 is which compound?
  BaPrIr